A plane-wave DFT calculation with meta-GGA SCAN was carried out for a crystal of CdRe2As relaxed with PBEsol.

a b c (Å): 2.9119 4.9255 4.9255
angles (deg): 114.31 90.00 90.00
Fractional positions:
Re: 0.0000 0.5000 0.0000
Cd: 0.5000 0.5000 0.5000
Re: 0.0000 0.0000 0.5000
As: 0.5000 0.0000 0.0000

Summary:
E_tot (eV per formula unit): -188.72
Distance to the lowest polymorph of the same formula (eV/f.u.): 3.328
SG: Cmmm (65)
Magnetic moment (μB per formula unit): 0.00